Entry 1:
Here is crystalline LiCu2W at its relaxed geometry from Alexandria via LeMat-Bulk. Energies are from PBE.

Output
Total DFT energy (no corrections) in Ha/atom: -0.1958
Crystal system: monoclinic
Formation energy from the elements in eV/atom: 0.44

Unit cell a=4.4521 b=4.4521 c=5.1072 alpha=84.33 beta=84.33 gamma=33.14
Fractional coordinates of all 4 atoms:
1 Cu 0.4977 0.4977 0.4993
2 Li 0.2500 0.2500 0.2500
3 W 0.7500 0.7500 0.7500
4 Cu 0.0023 0.0023 0.0007

***

Entry 2:
Here is crystalline Li4CuW at its relaxed geometry from Alexandria via LeMat-Bulk. Energies are from PBE.

Output
Total DFT energy (no corrections) in Ha/atom: -0.1272
Crystal system: cubic
Formation energy from the elements in eV/atom: 0.66

Unit cell a=4.8752 b=4.8752 c=4.8752 alpha=60.00 beta=60.00 gamma=60.00
Each line ends with the local moment (μB).
Fractional coordinates of all 6 atoms:
1 W 0.7500 0.7500 0.7500  1.88
2 Li 0.8752 0.3749 0.3749  0.01
3 Li 0.3749 0.3749 0.3749  0.01
4 Li 0.3749 0.8752 0.3749  0.01
5 Li 0.3749 0.3749 0.8752  0.01
6 Cu 0.0000 0.0000 0.0000  0.12

***

Entry 3:
Here is crystalline LiCu2W at its relaxed geometry from Alexandria via LeMat-Bulk. Energies are from PBE.

Output
Total DFT energy (no corrections) in Ha/atom: -0.2038
Crystal system: orthorhombic
Formation energy from the elements in eV/atom: 0.22

Unit cell a=7.1727 b=4.6478 c=2.5587 alpha=90.03 beta=69.06 gamma=132.32
Fractional coordinates of all 4 atoms:
1 Li 0.0000 0.5000 0.5000
2 Cu 0.0000 0.0000 0.0000
3 W 0.5000 0.5000 0.0000
4 Cu 0.5000 0.0000 0.5000

***

Entry 4:
Here is crystalline LiCu2W at its relaxed geometry from Alexandria via LeMat-Bulk. Energies are from PBE.

Output
Total DFT energy (no corrections) in Ha/atom: -0.1802
Crystal system: tetragonal
Formation energy from the elements in eV/atom: 0.86

Unit cell a=6.5353 b=6.5353 c=5.2779 alpha=51.75 beta=51.75 gamma=90.00
Fractional coordinates of all 8 atoms:
1 W 0.0000 0.0000 0.0000
2 Li 0.5000 0.5000 0.0000
3 Cu 0.5963 0.1250 0.2500
4 Cu 0.1537 0.6250 0.2500
5 Cu 0.8750 0.8463 0.7500
6 Li 0.2500 0.7500 0.5000
7 W 0.7500 0.2500 0.5000
8 Cu 0.3750 0.4037 0.7500

***

Entry 5:
Here is crystalline Li3CuW at its relaxed geometry from Alexandria via LeMat-Bulk. Energies are from PBE.

Output
Total DFT energy (no corrections) in Ha/atom: -0.1235
Crystal system: cubic
Formation energy from the elements in eV/atom: 1.20

Unit cell a=4.1745 b=4.1745 c=4.1745 alpha=90.00 beta=90.00 gamma=90.00
Fractional coordinates of all 5 atoms:
1 Li 0.5000 0.0000 0.0000
2 W 0.5000 0.5000 0.5000
3 Li 0.0000 0.0000 0.5000
4 Cu 0.0000 0.0000 0.0000
5 Li 0.0000 0.5000 0.0000

***

Entry 6:
Here is crystalline LiCu2W at its relaxed geometry from Alexandria via LeMat-Bulk. Energies are from PBE.

Output
Total DFT energy (no corrections) in Ha/atom: -0.2043
Crystal system: orthorhombic
Formation energy from the elements in eV/atom: 0.21

Unit cell a=2.6604 b=2.6604 c=7.6930 alpha=90.00 beta=90.00 gamma=89.84
Fractional coordinates of all 4 atoms:
1 Cu 0.0000 0.0000 0.0052
2 Cu 0.0000 0.0000 0.4948
3 W 0.5000 0.5000 0.7500
4 Li 0.5000 0.5000 0.2500

***

Entry 7:
Here is crystalline LiCu3W at its relaxed geometry from Alexandria via LeMat-Bulk. Energies are from PBE.

Output
Total DFT energy (no corrections) in Ha/atom: -0.1522
Crystal system: cubic
Formation energy from the elements in eV/atom: 1.29

Unit cell a=4.7657 b=4.7657 c=4.7657 alpha=90.00 beta=90.00 gamma=90.00
Fractional coordinates of all 5 atoms:
1 Cu 0.0000 0.0000 0.5000
2 Cu 0.5000 0.0000 0.0000
3 Cu 0.0000 0.5000 0.0000
4 Li 0.5000 0.5000 0.5000
5 W 0.0000 0.0000 0.0000

***

Entry 8:
Here is crystalline LiCu2W at its relaxed geometry from Alexandria via LeMat-Bulk. Energies are from PBE.

Output
Total DFT energy (no corrections) in Ha/atom: -0.1903
Crystal system: tetragonal
Formation energy from the elements in eV/atom: 0.59

Unit cell a=4.1628 b=4.1628 c=4.1628 alpha=120.11 beta=120.11 gamma=89.82
Fractional coordinates of all 4 atoms:
1 Li 0.5000 0.5000 0.0000
2 W 0.7500 0.2500 0.5000
3 Cu 0.2500 0.7500 0.5000
4 Cu 0.0000 0.0000 0.0000

***

Entry 9:
Here is crystalline LiCu2W at its relaxed geometry from Alexandria via LeMat-Bulk. Energies are from PBE.

Output
Total DFT energy (no corrections) in Ha/atom: -0.2020
Crystal system: trigonal
Formation energy from the elements in eV/atom: 0.27

Unit cell a=9.0940 b=9.0940 c=9.0940 alpha=16.99 beta=16.99 gamma=16.99
Fractional coordinates of all 4 atoms:
1 Cu 0.9989 0.9989 0.9989
2 W 0.7500 0.7500 0.7500
3 Cu 0.5011 0.5011 0.5011
4 Li 0.2500 0.2500 0.2500

***

Entry 10:
Here is crystalline LiCu3W at its relaxed geometry from Alexandria via LeMat-Bulk. Energies are from PBE.

Output
Total DFT energy (no corrections) in Ha/atom: -0.1673
Crystal system: cubic
Formation energy from the elements in eV/atom: 0.88

Unit cell a=3.9840 b=3.9840 c=3.9840 alpha=90.00 beta=90.00 gamma=90.00
Fractional coordinates of all 5 atoms:
1 Cu 0.0000 0.0000 0.5000
2 Cu 0.0000 0.5000 0.0000
3 W 0.5000 0.5000 0.5000
4 Li 0.0000 0.0000 0.0000
5 Cu 0.5000 0.0000 0.0000

***

Entry 11:
Here is crystalline LiCu2W at its relaxed geometry from Alexandria via LeMat-Bulk. Energies are from PBE.

Output
Total DFT energy (no corrections) in Ha/atom: -0.2017
Crystal system: orthorhombic
Formation energy from the elements in eV/atom: 0.28

Unit cell a=2.5440 b=3.8793 c=5.5593 alpha=90.00 beta=90.00 gamma=90.00
Fractional coordinates of all 4 atoms:
1 Li 0.5000 0.5000 0.2500
2 Cu 0.0000 0.0000 0.9920
3 W 0.5000 0.5000 0.7500
4 Cu 0.0000 0.0000 0.5080

***

Entry 12:
Here is crystalline LiCu2W at its relaxed geometry from Alexandria via LeMat-Bulk. Energies are from PBE.

Output
Total DFT energy (no corrections) in Ha/atom: -0.2022
Crystal system: tetragonal
Formation energy from the elements in eV/atom: 0.26

Unit cell a=2.6267 b=2.6267 c=7.9001 alpha=90.00 beta=90.00 gamma=90.00
Fractional coordinates of all 4 atoms:
1 W 0.5000 0.5000 0.7632
2 Li 0.0000 0.0000 0.4793
3 Cu 0.0000 0.0000 0.0186
4 Cu 0.5000 0.5000 0.2389

***

Entry 13:
Here is crystalline LiCu2W at its relaxed geometry from Alexandria via LeMat-Bulk. Energies are from PBE.

Output
Total DFT energy (no corrections) in Ha/atom: -0.1986
Crystal system: orthorhombic
Formation energy from the elements in eV/atom: 0.36

Unit cell a=2.5466 b=3.9596 c=5.3696 alpha=90.00 beta=90.00 gamma=90.00
Fractional coordinates of all 4 atoms:
1 Cu 0.0000 0.0000 0.9927
2 W 0.5000 0.5000 0.7735
3 Li 0.0000 0.0000 0.4656
4 Cu 0.5000 0.5000 0.2682

***

Entry 14:
Here is crystalline LiCu2W at its relaxed geometry from Alexandria via LeMat-Bulk. Energies are from PBE.

Output
Total DFT energy (no corrections) in Ha/atom: -0.2012
Crystal system: monoclinic
Formation energy from the elements in eV/atom: 0.29

Unit cell a=4.9598 b=4.9598 c=4.6236 alpha=75.85 beta=75.85 gamma=29.98
Each line ends with the local moment (μB).
Fractional coordinates of all 4 atoms:
1 W 0.7276 0.7276 0.8195  0.06
2 Li 0.5165 0.5165 0.4333  0.00
3 Cu 0.2748 0.2748 0.3001  0.01
4 Cu 0.9811 0.9811 0.9471  0.00

***

Entry 15:
Here is crystalline Li3CuW at its relaxed geometry from Alexandria via LeMat-Bulk. Energies are from PBE.

Output
Total DFT energy (no corrections) in Ha/atom: -0.1056
Crystal system: cubic
Formation energy from the elements in eV/atom: 1.68

Unit cell a=4.9778 b=4.9778 c=4.9778 alpha=90.00 beta=90.00 gamma=90.00
Each line ends with the local moment (μB).
Fractional coordinates of all 5 atoms:
1 Li 0.5000 0.0000 0.0000  0.04
2 W 0.0000 0.0000 0.0000  3.05
3 Li 0.0000 0.5000 0.0000  0.03
4 Cu 0.5000 0.5000 0.5000  0.04
5 Li 0.0000 0.0000 0.5000  0.02

***

Entry 16:
Here is crystalline LiCu2W at its relaxed geometry from Alexandria via LeMat-Bulk. Energies are from PBE.

Output
Total DFT energy (no corrections) in Ha/atom: -0.1994
Crystal system: orthorhombic
Formation energy from the elements in eV/atom: 0.34

Unit cell a=5.4568 b=5.4568 c=5.4568 alpha=152.70 beta=131.16 gamma=56.85
Fractional coordinates of all 4 atoms:
1 Li 0.5135 0.5135 0.0000
2 Cu 0.9895 0.9895 0.0000
3 Cu 0.7716 0.2716 0.5000
4 W 0.2254 0.7254 0.5000

***

Entry 17:
Here is crystalline LiCu2W at its relaxed geometry from Alexandria via LeMat-Bulk. Energies are from PBE.

Output
Total DFT energy (no corrections) in Ha/atom: -0.1927
Crystal system: orthorhombic
Formation energy from the elements in eV/atom: 0.52

Unit cell a=5.1484 b=5.1484 c=5.1484 alpha=150.75 beta=127.94 gamma=60.84
Fractional coordinates of all 4 atoms:
1 Cu 0.9874 0.9874 0.0000
2 Li 0.7500 0.2500 0.5000
3 W 0.2500 0.7500 0.5000
4 Cu 0.5126 0.5126 0.0000

***

Entry 18:
Here is crystalline LiY2Cu at its relaxed geometry from Alexandria via LeMat-Bulk. Energies are from PBE.

Output
Total DFT energy (no corrections) in Ha/atom: -0.1766
Crystal system: monoclinic
Formation energy from the elements in eV/atom: -0.07

Unit cell a=3.5606 b=3.5703 c=8.1279 alpha=64.02 beta=90.00 gamma=90.00
Fractional coordinates of all 4 atoms:
1 Y 0.0000 0.9776 0.0224
2 Cu 0.5000 0.2500 0.2500
3 Y 0.0000 0.5224 0.4776
4 Li 0.5000 0.7500 0.7500

***

Entry 19:
Here is crystalline LiYCu at its relaxed geometry from Alexandria via LeMat-Bulk. Energies are from PBE.

Output
Total DFT energy (no corrections) in Ha/atom: -0.1544
Crystal system: tetragonal
Formation energy from the elements in eV/atom: -0.04

Unit cell a=5.3155 b=5.3161 c=3.5386 alpha=70.55 beta=70.55 gamma=38.88
Fractional coordinates of all 3 atoms:
1 Li 0.3558 0.3558 0.6442
2 Cu 0.9887 0.9887 0.0113
3 Y 0.6555 0.6555 0.3445

***

Entry 20:
Here is crystalline LiY2Cu at its relaxed geometry from Alexandria via LeMat-Bulk. Energies are from PBE.

Output
Total DFT energy (no corrections) in Ha/atom: -0.1734
Crystal system: orthorhombic
Formation energy from the elements in eV/atom: 0.02

Unit cell a=6.2106 b=6.2106 c=6.2106 alpha=147.54 beta=132.85 gamma=58.41
Fractional coordinates of all 4 atoms:
1 Y 0.9998 0.9998 0.0000
2 Cu 0.4891 0.4891 0.0000
3 Li 0.3021 0.8021 0.5000
4 Y 0.7090 0.2090 0.5000